Record 1
Material: Nd2Dy7Tm2
Method: DFT, PBE
State: relaxed

```
11
Lattice="5.6183 -5.7381 0.0000 5.6183 5.7381 0.0000 -2.4263 0.0000 5.5591" Properties=species:S:1:pos:R:3 pbc="T T T"
Nd 0.2369 0.0000 1.6882
Nd 8.5734 0.0000 3.8709
Dy 2.8674 2.7135 1.7791
Dy 0.8467 0.0000 5.1029
Dy 5.9429 2.7135 3.7801
Dy 4.4052 0.0000 2.7796
Dy 2.8674 -2.7135 1.7791
Dy 7.9637 0.0000 0.4562
Dy 5.9429 -2.7135 3.7801
Tm 5.6183 2.4637 0.0000
Tm 5.6183 -2.4637 0.0000
```

## Properties
Volume in A^3/atom: 32.6
Symmetry: C2/m
Energy relative to the elements in eV/atom: 0.1516
Electronic total energy in eV per atom: -4.457
Energy relative to the lowest polymorph listed for this composition in meV/atom: 21
Fermi-level density of states in states/eV/f.u.: 17.5

---

Record 2
Material: Li8YO6
Method: DFT, PBE
State: relaxed

```
15
Lattice="2.8167 1.6262 5.3861 -2.8167 1.6262 5.3861 0.0000 -3.2524 5.3861" Properties=species:S:1:pos:R:3 pbc="T T T"
Li -1.0965 -1.7072 6.0945
Li 0.0000 0.0000 2.3951
Li -2.0267 0.0960 10.0637
Li -0.9302 1.8032 6.0945
Li 0.9302 -1.8032 10.0637
Li 2.0267 -0.0960 6.0945
Li 0.0000 0.0000 13.7630
Li 1.0965 1.7072 10.0637
Y 0.0000 0.0000 8.0791
O -1.8066 0.0712 6.6996
O -0.9650 -1.5289 9.4586
O 0.8416 -1.6002 6.6996
O -0.8416 1.6002 9.4586
O 0.9650 1.5289 6.6996
O 1.8066 -0.0712 9.4586
```

## Properties
Formation energy without anion corrections in eV/atom: -1.997
Volume in A^3/atom: 9.9
Symmetry: R-3
Electronic total energy in eV per atom: -5.432
Fermi-level density of states in states/eV/f.u.: 11.1

---

Record 3
Material: HoTi4Ru5
Method: DFT, PBE
State: relaxed

```
10
Lattice="3.1235 0.0000 0.0000 0.0000 3.1235 0.0000 0.0000 0.0000 15.9465" Properties=species:S:1:pos:R:3 pbc="T T T"
Ho 0.0000 0.0000 0.0000
Ti 0.0000 0.0000 3.3330
Ti 0.0000 0.0000 6.4294
Ti 0.0000 0.0000 9.5172
Ti 0.0000 0.0000 12.6135
Ru 1.5617 1.5617 1.9336
Ru 1.5617 1.5617 4.9418
Ru 1.5617 1.5617 7.9733
Ru 1.5617 1.5617 11.0047
Ru 1.5617 1.5617 14.0130
```

## Properties
Volume in A^3/atom: 15.6
Symmetry: P4/mmm
Energy relative to the elements in eV/atom: -0.6684
Electronic total energy in eV per atom: -8.922
Fermi-level density of states in states/eV/f.u.: 2.9